Material: Na3CaB5O10
Method: DFT, GGA-PBE
State: optimized geometry

POSCAR file:
```
Na3CaB5O10
1.0
-5.6691 -4.7554 -2.0701
5.8970 -2.7194 3.7578
-1.9436 3.7688 8.7718
Na O B Ca
6 20 10 2
Direct
0.7892 0.9433 0.8242
0.7806 0.7907 0.4518
0.7154 0.4638 0.7453
0.2846 0.5362 0.2547
0.2108 0.0567 0.1758
0.2194 0.2093 0.5482
0.3993 0.7602 0.7181
0.6007 0.6920 0.6148
0.3854 0.0653 0.7557
0.3993 0.3080 0.3852
0.5117 0.6561 0.0941
0.6146 0.9347 0.2443
0.2400 0.0085 0.9518
0.7140 0.2976 0.5418
0.0026 0.2423 0.6958
0.6007 0.2398 0.2819
0.9974 0.7577 0.3042
0.0669 0.3005 0.0414
0.2860 0.7024 0.4582
0.7600 0.9915 0.0482
0.8742 0.1601 0.4432
0.1250 0.7206 0.8023
0.9331 0.6995 0.9586
0.4883 0.3439 0.9059
0.1258 0.8399 0.5568
0.8750 0.2794 0.1977
0.9047 0.1966 0.0932
0.5647 0.2826 0.4036
0.7396 0.1519 0.2926
0.0953 0.8034 0.9068
0.3776 0.1430 0.8725
0.2604 0.8481 0.7074
0.4353 0.7174 0.5964
0.1318 0.7647 0.4360
0.8682 0.2353 0.5640
0.6224 0.8570 0.1275
0.2510 0.4686 0.8831
0.7490 0.5314 0.1169
```

Summary:
Its space group is P-1. The density of states at the Fermi level is 0.0 states/eV/f.u. Its size of the total moment is 0.0 Bohr magnetons per cell. For the total energy, the calculation gives -7.128 eV per atom.